Entry from Alexandria via LeMat-Bulk: ThVSe after structural relaxation (PBE).

Lattice parameters (Å, degrees): 4.2732 4.2732 8.1231 106.62 106.62 84.34
Last column: nearest neighbours and their distance in Å.
Fractional positions:
Th1 0.1319 0.1319 0.2669  5 Se 2.90-3.20, 2 V 2.97-2.98
Th2 0.8681 0.8681 0.7331  5 Se 2.90-3.20, 2 V 2.97-2.98
V1 0.3480 0.3480 0.9999  1 V 1.93
V2 0.6520 0.6520 0.0001  1 V 1.93
Se1 0.3380 0.3380 0.6728  2 V 2.63-2.64, 2 Th 2.90
Se2 0.6620 0.6620 0.3272  2 V 2.63-2.64, 2 Th 2.90

Calculated values
Energy relative to the elements, uncorrected ... -0.643 eV per atom
Electronic total energy ... -7.318 eV/atom
N(E_F) ... 0.686 states/eV per atom
Total magnetic moment ... 0.00 μB per formula unit


Entry from Alexandria via LeMat-Bulk: ThW4Se8 after structural relaxation (PBE).

Lattice parameters (Å, degrees): 8.0642 8.0642 8.0642 51.72 51.72 51.72
Last column: nearest neighbours and their distance in Å.
Fractional positions:
Th1 0.0000 0.0000 0.0000  6 Se 2.82
W1 0.0000 0.0000 0.5000  6 Se 2.59-2.64
W2 0.0000 0.5000 0.0000  6 Se 2.59-2.64
W3 0.5000 0.0000 0.0000  6 Se 2.59-2.64
W4 0.5000 0.5000 0.5000  6 Se 2.53
Se1 0.2435 0.2435 0.2435  3 W 2.59
Se2 0.2600 0.7366 0.7366  3 W 2.53-2.64, 1 Th 2.82
Se3 0.2634 0.2634 0.7400  3 W 2.53-2.64, 1 Th 2.82
Se4 0.2634 0.7400 0.2634  3 W 2.53-2.64, 1 Th 2.82
Se5 0.7366 0.2600 0.7366  3 W 2.53-2.64, 1 Th 2.82
Se6 0.7366 0.7366 0.2600  3 W 2.53-2.64, 1 Th 2.82
Se7 0.7400 0.2634 0.2634  3 W 2.53-2.64, 1 Th 2.82
Se8 0.7565 0.7565 0.7565  3 W 2.59

Calculated values
Energy relative to the elements, uncorrected ... -0.278 eV per atom
Electronic total energy ... -6.979 eV/atom
N(E_F) ... 0.649 states/eV per atom
Total magnetic moment ... 0.00 μB per formula unit


What is the formula in the first record? ThVSe